A relaxed structure of Nd4DyMg. Source: Alexandria, functional PBE.

Results
- E_form: -2.08 kJ per mole of atoms
- Offset from the most stable computed form: 0.000 eV/atom

abc: 3.681 3.681 14.506
angles: 90.00 90.00 90.00
Element x y z (fractional)
Nd: 0.000 0.000 0.349
Nd: 0.500 0.500 0.173
Nd: 0.000 0.000 0.651
Nd: 0.500 0.500 0.827
Dy: 0.000 0.000 0.000
Mg: 0.500 0.500 0.500